Zn2Bi2Pd after structural relaxation. Source: Alexandria, functional PBE-GGA.

Cell and atoms, written as CIF:
```
data_Zn2Bi2Pd
_chemical_formula_sum 'Zn4 Bi4 Pd2'
_space_group_name_H-M_alt 'I 4/m m m'
_space_group_IT_number 139
_space_group_name_Hall '-I 4 2'
_cell_length_a 3.531
_cell_length_b 3.531
_cell_length_c 18.123
_cell_angle_alpha 90.00
_cell_angle_beta 90.00
_cell_angle_gamma 90.00
loop_
_atom_site_label
_atom_site_type_symbol
_atom_site_fract_x
_atom_site_fract_y
_atom_site_fract_z
Zn1 Zn 0.000 0.500 0.250
Bi1 Bi 0.000 0.000 0.095
Pd1 Pd 0.000 0.000 0.500
```

Formation energy: 1 meV per atom
DOS(E_F): 0.3462 states/eV per atom
E_tot: -3.1000 eV per atom